CeNbCrN3: relaxed, PBE.

raw total energy: -9.46 eV/atom
space group: P2_1/m
crystal system: monoclinic
formation energy (no corrections): -1.0279 eV per atom

Unit cell a=3.127 b=6.989 c=7.277 alpha=103.88 beta=90.00 gamma=90.00
Positions (direct):
1 N 0.750 0.878 0.132
2 N 0.250 0.566 0.847
3 N 0.750 0.191 0.479
4 N 0.250 0.809 0.521
5 N 0.250 0.122 0.868
6 N 0.750 0.434 0.153
7 Cr 0.250 0.103 0.599
8 Cr 0.750 0.897 0.401
9 Nb 0.250 0.656 0.149
10 Nb 0.750 0.344 0.851
11 Ce 0.750 0.810 0.794
12 Ce 0.250 0.190 0.206